Record 1
DFT (PBE-GGA) results for crystalline Nd12Sm3Pu at its relaxed geometry.

Energy relative to the elements = 0.04 eV/atom
Space group = P4/mmm, No. 123
Raw total energy = -5.313 eV per atom

Lattice parameters (Å, degrees): 5.1718 5.1718 20.6514 90.00 90.00 90.00
With the nearest neighbours (Å) after each atom.
Positions (direct):
Nd 0.0000 0.0000 0.0000  8 Nd 3.60, 4 Pu 3.66
Nd 0.0000 0.0000 0.2485  4 Sm 3.66, 8 Nd 3.66-3.69
Nd 0.0000 0.0000 0.5000  4 Sm 3.66, 8 Nd 3.67
Nd 0.0000 0.0000 0.7515  4 Sm 3.66, 8 Nd 3.66-3.69
Nd 0.0000 0.5000 0.1213  8 Nd 3.60-3.69, 2 Pu 3.60, 2 Sm 3.69
Nd 0.0000 0.5000 0.3740  8 Nd 3.66-3.67, 4 Sm 3.66-3.67
Nd 0.0000 0.5000 0.6260  8 Nd 3.66-3.67, 4 Sm 3.66-3.67
Nd 0.0000 0.5000 0.8787  2 Pu 3.60, 8 Nd 3.60-3.69, 2 Sm 3.69
Nd 0.5000 0.0000 0.1213  8 Nd 3.60-3.69, 2 Pu 3.60, 2 Sm 3.69
Nd 0.5000 0.0000 0.3740  8 Nd 3.66-3.67, 4 Sm 3.66-3.67
Nd 0.5000 0.0000 0.6260  8 Nd 3.66-3.67, 4 Sm 3.66-3.67
Nd 0.5000 0.0000 0.8787  2 Pu 3.60, 8 Nd 3.60-3.69, 2 Sm 3.69
Sm 0.5000 0.5000 0.2485  12 Nd 3.66-3.69
Sm 0.5000 0.5000 0.5000  12 Nd 3.66-3.67
Sm 0.5000 0.5000 0.7515  12 Nd 3.66-3.69
Pu 0.5000 0.5000 0.0000  12 Nd 3.60-3.66

Record 2
DFT (PBE-GGA) results for crystalline NdSmPuSn at its relaxed geometry.

Energy relative to the elements = -0.18 eV/atom
Space group = F-43m, No. 216
Raw total energy = -7.134 eV per atom

Lattice parameters (Å, degrees): 5.4790 5.4790 5.4790 60.00 60.00 60.00
With the nearest neighbours (Å) after each atom.
Positions (direct):
Nd 0.0000 0.0000 0.0000  4 Pu 3.36, 4 Sn 3.36
Sm 0.5000 0.5000 0.5000  4 Sn 3.36, 4 Pu 3.36
Pu 0.7500 0.7500 0.7500  4 Sm 3.36, 4 Nd 3.36
Sn 0.2500 0.2500 0.2500  4 Sm 3.36, 4 Nd 3.36

Record 3
DFT (PBE-GGA) results for crystalline Tb6Nd2Sm3Pu at its relaxed geometry.

Energy relative to the elements = 0.05 eV/atom
Space group = C2/m, No. 12
Raw total energy = -5.438 eV per atom

Lattice parameters (Å, degrees): 6.2228 6.2228 11.8182 95.05 95.05 120.06
With the nearest neighbours (Å) after each atom.
Positions (direct):
Tb 0.0826 0.4113 0.7484  1 Pu 3.54, 6 Tb 3.54-3.62, 2 Nd 3.57, 3 Sm 3.58-3.60
Tb 0.2462 0.2462 0.2515  6 Tb 3.54-3.62, 1 Pu 3.54, 2 Nd 3.56, 3 Sm 3.58-3.60
Tb 0.4113 0.0826 0.7484  1 Pu 3.54, 6 Tb 3.54-3.62, 2 Nd 3.57, 3 Sm 3.58-3.60
Tb 0.5887 0.9174 0.2516  1 Pu 3.54, 6 Tb 3.54-3.62, 2 Nd 3.57, 3 Sm 3.58-3.60
Tb 0.7538 0.7538 0.7485  6 Tb 3.54-3.62, 1 Pu 3.54, 2 Nd 3.56, 3 Sm 3.58-3.60
Tb 0.9174 0.5887 0.2516  1 Pu 3.54, 6 Tb 3.54-3.62, 2 Nd 3.57, 3 Sm 3.58-3.60
Nd 0.3334 0.6666 0.5000  6 Tb 3.56-3.57, 3 Pu 3.59, 3 Nd 3.59
Nd 0.6666 0.3334 0.5000  6 Tb 3.56-3.57, 3 Pu 3.59, 3 Nd 3.59
Sm 0.1668 0.8332 0.0000  6 Tb 3.58-3.60, 6 Sm 3.59-3.60
Sm 0.5000 0.5000 0.0000  6 Tb 3.58-3.60, 6 Sm 3.59
Sm 0.8332 0.1668 0.0000  6 Tb 3.58-3.60, 6 Sm 3.59-3.60
Pu 0.0000 0.0000 0.5000  6 Tb 3.54, 6 Nd 3.59

Record 4
DFT (PBE-GGA) results for crystalline Tb2Nd3Sm6Pu at its relaxed geometry.

Energy relative to the elements = 0.05 eV/atom
Space group = C2/m, No. 12
Raw total energy = -5.468 eV per atom

Lattice parameters (Å, degrees): 6.2687 6.2687 11.9408 95.06 95.06 120.05
With the nearest neighbours (Å) after each atom.
Positions (direct):
Tb 0.1665 0.8335 0.0000  6 Sm 3.56-3.57, 3 Pu 3.62, 3 Tb 3.62
Tb 0.8335 0.1665 0.0000  6 Sm 3.56-3.57, 3 Pu 3.62, 3 Tb 3.62
Nd 0.0000 0.0000 0.5000  6 Nd 3.62, 6 Sm 3.65-3.67
Nd 0.3334 0.6666 0.5000  6 Nd 3.62, 6 Sm 3.65-3.67
Nd 0.6666 0.3334 0.5000  6 Nd 3.62, 6 Sm 3.65-3.67
Sm 0.0896 0.4187 0.7554  1 Pu 3.54, 2 Tb 3.56-3.57, 6 Sm 3.57-3.64, 3 Nd 3.65-3.67
Sm 0.2522 0.2522 0.2446  1 Pu 3.54, 2 Tb 3.56, 6 Sm 3.57-3.64, 3 Nd 3.65-3.67
Sm 0.4187 0.0896 0.7554  1 Pu 3.54, 2 Tb 3.56-3.57, 6 Sm 3.57-3.64, 3 Nd 3.65-3.67
Sm 0.5813 0.9104 0.2446  1 Pu 3.54, 2 Tb 3.56-3.57, 6 Sm 3.57-3.64, 3 Nd 3.65-3.67
Sm 0.7478 0.7478 0.7554  1 Pu 3.54, 2 Tb 3.56, 6 Sm 3.57-3.64, 3 Nd 3.65-3.67
Sm 0.9104 0.5813 0.2446  1 Pu 3.54, 2 Tb 3.56-3.57, 6 Sm 3.57-3.64, 3 Nd 3.65-3.67
Pu 0.5000 0.5000 0.0000  6 Sm 3.54, 6 Tb 3.62

Record 5
DFT (PBE-GGA) results for crystalline Nd3Sm2PuTe6 at its relaxed geometry.

Space group = C2/m, No. 12
Formation energy from raw total energies = -1.37 eV per atom
Raw total energy = -6.112 eV per atom

Lattice parameters (Å, degrees): 9.9972 9.9972 8.9785 103.11 103.11 25.70
With the nearest neighbours (Å) after each atom.
Positions (direct):
Nd 0.0000 0.0000 0.0000  6 Te 3.19
Nd 0.3326 0.3326 0.6655  6 Te 3.17-3.19
Nd 0.6674 0.6674 0.3345  6 Te 3.17-3.19
Sm 0.3349 0.3349 0.1697  6 Te 3.13-3.16
Sm 0.6651 0.6651 0.8303  6 Te 3.13-3.16
Pu 0.0000 0.0000 0.5000  6 Te 3.13
Te 0.1650 0.1650 0.5848  1 Pu 3.13, 2 Sm 3.13, 3 Nd 3.17-3.18
Te 0.1683 0.1683 0.0805  3 Sm 3.15-3.16, 3 Nd 3.19
Te 0.4999 0.4999 0.2541  1 Sm 3.13, 2 Pu 3.13, 3 Nd 3.17-3.19
Te 0.5001 0.5001 0.7459  1 Sm 3.13, 2 Pu 3.13, 3 Nd 3.17-3.19
Te 0.8317 0.8317 0.9195  3 Sm 3.15-3.16, 3 Nd 3.19
Te 0.8350 0.8350 0.4152  1 Pu 3.13, 2 Sm 3.13, 3 Nd 3.17-3.18

Record 6
DFT (PBE-GGA) results for crystalline NdSmPu2Te5 at its relaxed geometry.

Space group = P4/mmm, No. 123
Formation energy from raw total energies = -0.65 eV per atom
Raw total energy = -6.635 eV per atom

Lattice parameters (Å, degrees): 5.6293 5.6293 11.8470 90.00 90.00 90.00
With the nearest neighbours (Å) after each atom.
Positions (direct):
Nd 0.0000 0.0000 0.0000  2 Te 2.92
Sm 0.0000 0.0000 0.5000  6 Te 2.81-3.00
Pu 0.5000 0.5000 0.3300  4 Te 3.46
Pu 0.5000 0.5000 0.6700  4 Te 3.46
Te 0.0000 0.0000 0.2465  1 Nd 2.92, 1 Sm 3.00
Te 0.0000 0.0000 0.7535  1 Nd 2.92, 1 Sm 3.00
Te 0.0000 0.5000 0.5000  2 Sm 2.81
Te 0.5000 0.0000 0.5000  2 Sm 2.81
Te 0.5000 0.5000 0.0000  2 Pu 3.91, 4 Nd 3.98

Record 7
DFT (PBE-GGA) results for crystalline NdSm3Pu2Te6 at its relaxed geometry.

Space group = C2/m, No. 12
Formation energy from raw total energies = -1.31 eV per atom
Raw total energy = -6.848 eV per atom

Lattice parameters (Å, degrees): 9.9561 9.9561 8.9262 103.16 103.16 25.73
With the nearest neighbours (Å) after each atom.
Positions (direct):
Nd 0.0000 0.0000 0.0000  6 Te 3.17-3.18
Sm 0.0000 0.0000 0.5000  6 Te 3.13-3.16
Sm 0.3352 0.3352 0.1662  6 Te 3.13-3.16
Sm 0.6648 0.6648 0.8338  6 Te 3.13-3.16
Pu 0.3336 0.3336 0.6667  6 Te 3.12-3.14
Pu 0.6664 0.6664 0.3333  6 Te 3.12-3.14
Te 0.1672 0.1672 0.5827  3 Pu 3.14, 3 Sm 3.16
Te 0.1684 0.1684 0.0862  2 Pu 3.13, 3 Sm 3.15, 1 Nd 3.18
Te 0.4989 0.4989 0.7463  1 Pu 3.12, 3 Sm 3.13, 2 Nd 3.17
Te 0.5011 0.5011 0.2537  1 Pu 3.12, 3 Sm 3.13, 2 Nd 3.17
Te 0.8316 0.8316 0.9138  2 Pu 3.13, 3 Sm 3.15, 1 Nd 3.18
Te 0.8328 0.8328 0.4173  3 Pu 3.14, 3 Sm 3.16

Record 8
DFT (PBE-GGA) results for crystalline Nd4Sm3PuTe8 at its relaxed geometry.

Space group = R-3m, No. 166
Formation energy from raw total energies = -1.37 eV per atom
Raw total energy = -5.918 eV per atom

Lattice parameters (Å, degrees): 8.9505 8.9505 8.9505 59.85 59.85 59.85
With the nearest neighbours (Å) after each atom.
Positions (direct):
Nd 0.0000 0.0000 0.0000  6 Te 3.19
Nd 0.0000 0.5000 0.5000  6 Te 3.18
Nd 0.5000 0.0000 0.5000  6 Te 3.18
Nd 0.5000 0.5000 0.0000  6 Te 3.18
Sm 0.0000 0.0000 0.5000  6 Te 3.14
Sm 0.0000 0.5000 0.0000  6 Te 3.14
Sm 0.5000 0.0000 0.0000  6 Te 3.14
Pu 0.5000 0.5000 0.5000  6 Te 3.13
Te 0.2485 0.2485 0.2485  3 Sm 3.14, 3 Nd 3.18
Te 0.2495 0.7477 0.7477  1 Pu 3.13, 2 Sm 3.14, 3 Nd 3.18-3.19
Te 0.2523 0.2523 0.7505  1 Pu 3.13, 2 Sm 3.14, 3 Nd 3.18-3.19
Te 0.2523 0.7505 0.2523  1 Pu 3.13, 2 Sm 3.14, 3 Nd 3.18-3.19
Te 0.7477 0.2495 0.7477  1 Pu 3.13, 2 Sm 3.14, 3 Nd 3.18-3.19
Te 0.7477 0.7477 0.2495  1 Pu 3.13, 2 Sm 3.14, 3 Nd 3.18-3.19
Te 0.7505 0.2523 0.2523  1 Pu 3.13, 2 Sm 3.14, 3 Nd 3.18-3.19
Te 0.7515 0.7515 0.7515  3 Sm 3.14, 3 Nd 3.18